(1)
# Tb2Pr3Au2 (PBE, optimized geometry)
data_Tb2Pr3Au2
_cell_length_a 12.830
_cell_length_b 3.852
_cell_length_c 9.347
_cell_angle_alpha 90.00
_cell_angle_beta 113.81
_cell_angle_gamma 90.00
_symmetry_space_group_name_H-M 'C 1 2/m 1'
_symmetry_Int_Tables_number 12
loop_
_symmetry_equiv_pos_as_xyz
'x,y,z'
'-x,-y,-z'
'-x,y,-z'
'x,-y,z'
'x+1/2,y+1/2,z'
'-x+1/2,-y+1/2,-z'
'-x+1/2,y+1/2,-z'
'x+1/2,-y+1/2,z'
loop_
_atom_site_label
_atom_site_fract_x
_atom_site_fract_y
_atom_site_fract_z
_atom_site_occupancy
Tb1 0.156 0.000 0.312 1
Pr1 0.000 0.500 0.500 1
Pr2 0.111 0.500 0.941 1
Au1 0.174 0.000 0.720 1
# Energy in eV per atom: -4.750
# Energy of formation from the pure elements in eV per atom: -0.442
# Crystal system: monoclinic
# Theoretical density in g/cm³: 8.91

(2)
# TbPr2Au (PBE, optimized geometry)
data_TbPr2Au
_cell_length_a 3.763
_cell_length_b 3.763
_cell_length_c 8.587
_cell_angle_alpha 90.00
_cell_angle_beta 90.00
_cell_angle_gamma 90.00
_symmetry_space_group_name_H-M 'P 4/m m m'
_symmetry_Int_Tables_number 123
_symmetry_space_group_name_Hall '-P 4 2'
loop_
_atom_site_label
_atom_site_fract_x
_atom_site_fract_y
_atom_site_fract_z
_atom_site_occupancy
Tb1 0.000 0.000 0.000 1
Pr1 0.500 0.500 0.288 1
Au1 0.000 0.000 0.500 1
# Energy in eV per atom: -4.701
# Energy of formation from the pure elements in eV per atom: -0.334
# Crystal system: tetragonal
# Theoretical density in g/cm³: 8.71